Entry 1:
PBE-GGA TaI, relaxed; symmetry = No. 186; offset from the most stable computed form = 65.2 kJ/mol of atoms; DOS(E_F) = 0.9 states/eV/f.u.; DFT total energy = -5.95 eV per atom; uncorrected formation energy = 0.75 eV per atom
1.0
3.365 0.000 0.000
-1.682 2.914 0.000
0.000 0.000 9.554
Ta I
2 2
Direct
0.333 0.667 0.687 Ta
0.667 0.333 0.187 Ta
0.333 0.667 0.395 I
0.667 0.333 0.895 I

Entry 2:
PBE-GGA TaI, relaxed; symmetry = No. 59; offset from the most stable computed form = 25.6 kJ/mol of atoms; DOS(E_F) = 1.0 states/eV/f.u.; DFT total energy = -6.36 eV per atom; uncorrected formation energy = 0.34 eV per atom
1.0
-2.604 2.249 0.779
-5.125 -4.281 -4.764
-3.299 -7.333 10.140
I Ta
6 6
Direct
0.500 0.679 0.841 I
0.000 0.321 0.341 I
0.000 0.190 0.000 I
0.500 0.679 0.159 I
0.000 0.321 0.659 I
0.500 0.810 0.500 I
0.000 0.080 0.500 Ta
0.000 0.953 0.170 Ta
0.500 0.047 0.670 Ta
0.500 0.920 0.000 Ta
0.500 0.047 0.330 Ta
0.000 0.953 0.830 Ta

Entry 3:
PBE-GGA TaI2, relaxed; symmetry = No. 2; DOS(E_F) = 1.2 states/eV/f.u.; DFT total energy = -5.07 eV per atom; uncorrected formation energy = -0.08 eV per atom
1.0
3.694 0.002 0.001
1.811 7.126 0.001
1.846 0.719 8.192
I Ta
4 2
Direct
0.214 0.242 0.825 I
0.551 0.735 0.669 I
0.449 0.265 0.331 I
0.786 0.758 0.175 I
0.782 0.367 0.565 Ta
0.218 0.633 0.435 Ta

Entry 4:
PBE-GGA TaI, relaxed; symmetry = No. 223; offset from the most stable computed form = 164.0 kJ/mol of atoms; DOS(E_F) = 1.5 states/eV/f.u.; DFT total energy = -4.93 eV per atom; uncorrected formation energy = 1.77 eV per atom
1.0
7.626 0.000 0.000
0.000 7.626 0.000
0.000 0.000 7.626
Ta I
6 6
Direct
0.250 0.500 0.000 Ta
0.500 0.000 0.250 Ta
0.750 0.500 0.000 Ta
0.000 0.250 0.500 Ta
0.500 0.000 0.750 Ta
0.000 0.750 0.500 Ta
0.750 0.000 0.500 I
0.000 0.500 0.750 I
0.500 0.250 0.000 I
0.500 0.750 0.000 I
0.000 0.500 0.250 I
0.250 0.000 0.500 I

Entry 5:
PBE-GGA TaI, relaxed; symmetry = No. 216; offset from the most stable computed form = 154.6 kJ/mol of atoms; DOS(E_F) = 2.6 states/eV/f.u.; DFT total energy = -5.03 eV per atom; uncorrected formation energy = 1.68 eV per atom
1.0
6.263 0.000 0.000
0.000 6.263 0.000
0.000 0.000 6.263
Ta I
4 4
Direct
0.500 0.000 0.500 Ta
0.000 0.500 0.500 Ta
0.000 0.000 0.000 Ta
0.500 0.500 0.000 Ta
0.750 0.750 0.250 I
0.250 0.750 0.750 I
0.750 0.250 0.750 I
0.250 0.250 0.250 I

Entry 6:
PBE-GGA Ta2I13, relaxed; symmetry = No. 2; DOS(E_F) = 6.0 states/eV/f.u.; DFT total energy = -3.21 eV per atom; uncorrected formation energy = -0.29 eV per atom
1.0
-1.839 -7.152 0.115
9.007 2.216 -5.929
1.100 -1.582 11.681
I Ta
13 2
Direct
0.461 0.204 0.171 I
0.687 0.603 0.067 I
0.094 0.396 0.313 I
0.539 0.796 0.829 I
0.874 0.125 0.768 I
0.299 0.289 0.536 I
0.313 0.397 0.933 I
0.737 0.042 0.337 I
0.906 0.604 0.687 I
0.000 0.000 0.000 I
0.263 0.958 0.663 I
0.126 0.875 0.232 I
0.701 0.711 0.464 I
0.123 0.155 0.303 Ta
0.877 0.845 0.697 Ta